! meta-GGA SCAN Sb2PbBr, single point on PBEsol structure; values from VASP
&SYSTEM
  ibrav = 0, nat = 4, ntyp = 3
/
ATOMIC_SPECIES
Pb 207.20 Pb.upf
Sb 121.76 Sb.upf
Br 79.90 Br.upf
ATOMIC_POSITIONS crystal
Pb 0.500 0.500 0.500
Sb 0.250 0.250 0.250
Sb 0.750 0.750 0.750
Br 0.000 0.000 0.000
CELL_PARAMETERS angstrom
5.297 0.000 0.000
2.648 4.587 0.000
2.648 1.529 4.325
! E_form (uncorrected) = 187 meV per atom
! magnetic moment = 0.00 μB per cell
! volume = 105 Å³ per cell
! polymorph energy (0 for the lowest one) = 0.302 eV/atom
! space group = Fm-3m (225)

---

! meta-GGA SCAN SbPb4Br, single point on PBEsol structure; values from VASP
&SYSTEM
  ibrav = 0, nat = 6, ntyp = 3
/
ATOMIC_SPECIES
Br 79.90 Br.upf
Pb 207.20 Pb.upf
Sb 121.76 Sb.upf
ATOMIC_POSITIONS crystal
Br 0.000 0.000 0.000
Pb 0.375 0.375 0.375
Pb 0.375 0.375 0.874
Pb 0.874 0.375 0.375
Pb 0.375 0.874 0.375
Sb 0.750 0.750 0.750
CELL_PARAMETERS angstrom
6.371 0.000 0.000
3.186 5.518 0.000
3.186 1.839 5.202
! E_form (uncorrected) = 153 meV per atom
! magnetic moment = 0.00 μB per cell
! volume = 183 Å³ per cell
! space group = F-43m (216)

---

! meta-GGA SCAN Sb2PbBr, single point on PBEsol structure; values from VASP
&SYSTEM
  ibrav = 0, nat = 4, ntyp = 3
/
ATOMIC_SPECIES
Pb 207.20 Pb.upf
Sb 121.76 Sb.upf
Br 79.90 Br.upf
ATOMIC_POSITIONS crystal
Pb 0.500 0.500 0.500
Sb 0.000 0.000 0.756
Sb 0.000 0.000 0.244
Br 0.500 0.500 0.000
CELL_PARAMETERS angstrom
3.404 0.000 0.000
0.000 3.404 0.000
0.000 0.000 9.272
! E_form (uncorrected) = 170 meV per atom
! magnetic moment = 0.00 μB per cell
! volume = 107 Å³ per cell
! polymorph energy (0 for the lowest one) = 0.285 eV/atom
! space group = P4/mmm (123)

---

! meta-GGA SCAN SbPb2Br, single point on PBEsol structure; values from VASP
&SYSTEM
  ibrav = 0, nat = 4, ntyp = 3
/
ATOMIC_SPECIES
Pb 207.20 Pb.upf
Sb 121.76 Sb.upf
Br 79.90 Br.upf
ATOMIC_POSITIONS crystal
Pb 0.743 0.743 0.771
Pb 0.257 0.257 0.229
Sb 0.000 0.000 0.000
Br 0.500 0.500 0.500
CELL_PARAMETERS angstrom
4.522 0.000 0.000
2.261 3.916 0.000
2.261 1.305 7.250
! E_form (uncorrected) = -367 meV per atom
! magnetic moment = 0.00 μB per cell
! volume = 128 Å³ per cell
! space group = R-3m (166)

---

! meta-GGA SCAN SbPbBr2, single point on PBEsol structure; values from VASP
&SYSTEM
  ibrav = 0, nat = 8, ntyp = 3
/
ATOMIC_SPECIES
Pb 207.20 Pb.upf
Sb 121.76 Sb.upf
Br 79.90 Br.upf
ATOMIC_POSITIONS crystal
Pb 0.750 0.500 0.500
Pb 0.000 0.000 0.000
Sb 0.250 0.500 0.500
Sb 0.500 0.000 0.000
Br 0.132 0.993 0.493
Br 0.618 0.007 0.507
Br 0.375 0.493 0.007
Br 0.875 0.507 0.993
CELL_PARAMETERS angstrom
-2.586 -6.054 -1.560
0.895 -2.553 -6.245
3.706 -5.621 0.996
! E_form (uncorrected) = -104 meV per atom
! magnetic moment = 0.00 μB per cell
! volume = 236 Å³ per cell
! polymorph energy (0 for the lowest one) = 0.000 eV/atom
! space group = I-42d (122)

---

! meta-GGA SCAN SbPbBr2, single point on PBEsol structure; values from VASP
&SYSTEM
  ibrav = 0, nat = 4, ntyp = 3
/
ATOMIC_SPECIES
Pb 207.20 Pb.upf
Sb 121.76 Sb.upf
Br 79.90 Br.upf
ATOMIC_POSITIONS crystal
Pb 0.500 0.500 0.000
Sb 0.250 0.750 0.500
Br 0.000 0.000 0.000
Br 0.750 0.250 0.500
CELL_PARAMETERS angstrom
4.323 0.000 0.000
0.000 4.323 0.000
-2.161 -2.161 5.965
! E_form (uncorrected) = -101 meV per atom
! magnetic moment = 0.00 μB per cell
! volume = 111 Å³ per cell
! polymorph energy (0 for the lowest one) = 0.002 eV/atom
! space group = I-4m2 (119)